Computed, not measured: a relaxed structure of Pm2SmTe4 at the PBE level of DFT.

abc: 4.3273 7.6544 15.2416
angles: 90.00 90.00 106.42
Fractional coordinates of all 14 atoms:
Te (0.2207, 0.4414, 0.6238)
Pm (0.8685, 0.7371, 0.9305)
Te (0.5000, 0.0000, 0.5000)
Sm (0.3729, 0.7458, 0.2500)
Te (0.9704, 0.9408, 0.7500)
Te (0.7793, 0.5586, 0.1238)
Pm (0.1315, 0.2629, 0.4305)
Te (0.2207, 0.4414, 0.8762)
Te (0.7793, 0.5586, 0.3762)
Sm (0.6271, 0.2542, 0.7500)
Pm (0.8685, 0.7371, 0.5695)
Te (0.5000, 0.0000, 0.0000)
Te (0.0296, 0.0592, 0.2500)
Pm (0.1315, 0.2629, 0.0695)

Values from the calculation:
The calculation puts the total energy at -36.58 eV per formula unit. The value obtained for the density of states at the Fermi level is 2.9 states/eV/f.u. The crystal system is orthorhombic. For the formation energy without anion corrections, the calculation gives -1.399 eV/atom.

Computed, not measured: a relaxed structure of Pm5SmTe4 at the PBE level of DFT.

abc: 7.6851 9.3380 10.0066
angles: 90.00 90.00 90.00
Fractional coordinates of all 20 atoms:
Pm (0.2431, 0.7991, 0.1933)
Pm (0.7569, 0.7009, 0.6933)
Pm (0.7781, 0.5000, 0.0000)
Pm (0.2431, 0.7991, 0.8067)
Te (0.9312, 0.0000, 0.2951)
Te (0.5637, 0.7744, 0.0000)
Te (0.4363, 0.7256, 0.5000)
Sm (0.8609, 0.0000, 0.0000)
Te (0.0688, 0.5000, 0.7951)
Te (0.0688, 0.5000, 0.2049)
Pm (0.7569, 0.2991, 0.6933)
Te (0.9312, 0.0000, 0.7049)
Pm (0.2219, 0.0000, 0.5000)
Pm (0.7569, 0.2991, 0.3067)
Pm (0.2431, 0.2009, 0.1933)
Te (0.4363, 0.2744, 0.5000)
Sm (0.1391, 0.5000, 0.5000)
Pm (0.2431, 0.2009, 0.8067)
Pm (0.7569, 0.7009, 0.3067)
Te (0.5637, 0.2256, 0.0000)

Values from the calculation:
The calculation puts the total energy at -49.64 eV per formula unit. The value obtained for the density of states at the Fermi level is 9.7 states/eV/f.u. The crystal system is orthorhombic. For the formation energy without anion corrections, the calculation gives -0.860 eV/atom.

Computed, not measured: a relaxed structure of PmSm2Te at the PBE level of DFT.

abc: 3.9833 3.9833 10.1833
angles: 78.72 78.72 60.00
Last column: magnetic moment on the atom in μB.
Fractional coordinates of all 4 atoms:
Sm (0.2624, 0.2624, 0.2129)  0.02
Pm (0.4997, 0.4997, 0.5010)  0.06
Te (0.6668, 0.6668, 0.9996)  0.00
Sm (0.0712, 0.0712, 0.7865)  0.03

Values from the calculation:
The calculation puts the total energy at -19.56 eV per formula unit. The value obtained for the density of states at the Fermi level is 4.9 states/eV/f.u. The crystal system is trigonal. For the formation energy without anion corrections, the calculation gives -0.557 eV/atom.

Computed, not measured: a relaxed structure of PmSmTe at the PBE level of DFT.

abc: 4.0791 6.2815 8.1033
angles: 106.69 90.00 90.00
Fractional coordinates of all 6 atoms:
Te (0.7500, 0.6357, 0.8023)
Te (0.2500, 0.3643, 0.1977)
Pm (0.7500, 0.2232, 0.4505)
Sm (0.2500, 0.8261, 0.1090)
Pm (0.2500, 0.7768, 0.5495)
Sm (0.7500, 0.1739, 0.8910)

Values from the calculation:
The calculation puts the total energy at -15.09 eV per formula unit. The value obtained for the density of states at the Fermi level is 3.6 states/eV/f.u. The crystal system is monoclinic. For the formation energy without anion corrections, the calculation gives -0.827 eV/atom.

Computed, not measured: a relaxed structure of PmSm2Te at the PBE level of DFT.

abc: 3.9326 3.9326 10.3787
angles: 79.08 79.08 60.00
Fractional coordinates of all 4 atoms:
Pm (0.0000, 0.0000, 0.0000)
Te (0.5000, 0.5000, 0.5000)
Sm (0.7622, 0.7622, 0.7135)
Sm (0.2378, 0.2378, 0.2865)

Values from the calculation:
The calculation puts the total energy at -19.54 eV per formula unit. The value obtained for the density of states at the Fermi level is 4.4 states/eV/f.u. The crystal system is trigonal. For the formation energy without anion corrections, the calculation gives -0.552 eV/atom.

Computed, not measured: a relaxed structure of PmSm3Te4 at the PBE level of DFT.

abc: 4.4078 7.7314 7.7314
angles: 108.97 90.00 90.00
Fractional coordinates of all 8 atoms:
Pm (0.5000, 0.0000, 0.0000)
Te (0.0000, 0.7488, 0.7488)
Sm (0.0000, 0.0000, 0.5000)
Te (0.0000, 0.2512, 0.2512)
Te (0.5000, 0.7494, 0.2506)
Sm (0.0000, 0.5000, 0.0000)
Sm (0.5000, 0.5000, 0.5000)
Te (0.5000, 0.2506, 0.7494)

Values from the calculation:
The calculation puts the total energy at -42.58 eV per formula unit. The value obtained for the density of states at the Fermi level is 5.3 states/eV/f.u. The crystal system is orthorhombic. For the formation energy without anion corrections, the calculation gives -1.388 eV/atom.

Computed, not measured: a relaxed structure of Pm2SmTe4 at the PBE level of DFT.

abc: 4.4495 7.7734 8.6972
angles: 117.09 104.82 90.00
Fractional coordinates of all 7 atoms:
Te (0.1211, 0.7940, 0.2423)
Pm (0.7417, 0.7532, 0.4834)
Sm (0.0000, 0.0000, 0.0000)
Te (0.3708, 0.7135, 0.7416)
Te (0.8789, 0.2060, 0.7577)
Te (0.6292, 0.2865, 0.2584)
Pm (0.2583, 0.2468, 0.5166)

Values from the calculation:
The calculation puts the total energy at -36.68 eV per formula unit. The value obtained for the density of states at the Fermi level is 3.3 states/eV/f.u. The crystal system is monoclinic. For the formation energy without anion corrections, the calculation gives -1.413 eV/atom.

Computed, not measured: a relaxed structure of PmSmTe3 at the PBE level of DFT.

abc: 8.2782 7.4335 11.3855
angles: 90.00 90.00 90.00
Fractional coordinates of all 20 atoms:
Pm (0.8796, 0.9468, 0.7500)
Te (0.0549, 0.3330, 0.7500)
Te (0.3247, 0.3399, 0.4179)
Te (0.9451, 0.6670, 0.2500)
Sm (0.5000, 0.0000, 0.0000)
Te (0.8247, 0.1601, 0.4179)
Te (0.1753, 0.8399, 0.5821)
Te (0.6753, 0.6601, 0.9179)
Te (0.5549, 0.1670, 0.7500)
Sm (0.0000, 0.5000, 0.5000)
Pm (0.3796, 0.5532, 0.7500)
Sm (0.0000, 0.5000, 0.0000)
Te (0.1753, 0.8399, 0.9179)
Pm (0.6204, 0.4468, 0.2500)
Te (0.8247, 0.1601, 0.0821)
Te (0.6753, 0.6601, 0.5821)
Sm (0.5000, 0.0000, 0.5000)
Pm (0.1204, 0.0532, 0.2500)
Te (0.4451, 0.8330, 0.2500)
Te (0.3247, 0.3399, 0.0821)

Values from the calculation:
The calculation puts the total energy at -25.80 eV per formula unit. The crystal system is orthorhombic. For the formation energy without anion corrections, the calculation gives -1.381 eV/atom.

Computed, not measured: a relaxed structure of PmSm3Te6 at the PBE level of DFT.

abc: 7.6942 8.2384 8.2384
angles: 62.65 62.09 62.09
Fractional coordinates of all 10 atoms:
Te (0.6617, 0.8393, 0.3387)
Te (0.6617, 0.3387, 0.8393)
Sm (0.6781, 0.7501, 0.7501)
Te (0.3383, 0.1607, 0.6613)
Te (0.9250, 0.2493, 0.2493)
Te (0.0750, 0.7507, 0.7507)
Sm (0.0000, 0.0000, 0.0000)
Pm (0.5000, 0.5000, 0.5000)
Sm (0.3219, 0.2499, 0.2499)
Te (0.3383, 0.6613, 0.1607)

Values from the calculation:
The calculation puts the total energy at -50.27 eV per formula unit. The value obtained for the density of states at the Fermi level is 0.0 states/eV/f.u. The crystal system is monoclinic. For the formation energy without anion corrections, the calculation gives -1.251 eV/atom.

Computed, not measured: a relaxed structure of Pm2Sm3Te8 at the PBE level of DFT.

abc: 7.6522 8.8905 8.9849
angles: 119.65 106.27 90.00
Fractional coordinates of all 13 atoms:
Te (0.0827, 0.8791, 0.7581)
Pm (0.6671, 0.7487, 0.4974)
Te (0.9039, 0.6196, 0.2392)
Te (0.5863, 0.1254, 0.7567)
Te (0.4137, 0.8746, 0.2433)
Sm (0.0000, 0.2585, 0.0000)
Sm (0.5000, 0.0000, 0.0000)
Te (0.5863, 0.6312, 0.7567)
Pm (0.3329, 0.2513, 0.5026)
Sm (0.0000, 0.7415, 0.0000)
Te (0.0961, 0.3804, 0.7608)
Te (0.4137, 0.3688, 0.2433)
Te (0.9173, 0.1209, 0.2419)

Values from the calculation:
The calculation puts the total energy at -65.44 eV per formula unit. The value obtained for the density of states at the Fermi level is 6.8 states/eV/f.u. The crystal system is monoclinic. For the formation energy without anion corrections, the calculation gives -1.281 eV/atom.

Computed, not measured: a relaxed structure of Pm2SmTe at the PBE level of DFT.

abc: 3.9995 3.9995 10.1770
angles: 78.67 78.67 60.00
Last column: magnetic moment on the atom in μB.
Fractional coordinates of all 4 atoms:
Pm (0.2620, 0.2620, 0.2139)  0.02
Pm (0.0715, 0.0715, 0.7855)  0.04
Te (0.6668, 0.6668, 0.9996)  0.00
Sm (0.4997, 0.4997, 0.5010)  0.07

Values from the calculation:
The calculation puts the total energy at -19.60 eV per formula unit. The value obtained for the density of states at the Fermi level is 4.7 states/eV/f.u. The crystal system is trigonal. For the formation energy without anion corrections, the calculation gives -0.560 eV/atom.

Computed, not measured: a relaxed structure of PmSm2Te at the PBE level of DFT.

abc: 3.8683 5.5829 5.5829
angles: 90.00 90.00 90.00
Fractional coordinates of all 4 atoms:
Sm (0.0000, 0.5000, 0.0000)
Sm (0.0000, 0.0000, 0.5000)
Pm (0.5000, 0.5000, 0.5000)
Te (0.5000, 0.0000, 0.0000)

Values from the calculation:
The calculation puts the total energy at -19.23 eV per formula unit. The value obtained for the density of states at the Fermi level is 3.7 states/eV/f.u. The crystal system is tetragonal. For the formation energy without anion corrections, the calculation gives -0.475 eV/atom.